The following is a GGA-PBE calculation of crystalline Na2ZrTc at its relaxed geometry, from Alexandria via LeMat-Bulk.

Lattice parameters (Å, degrees): 3.814 3.814 23.882 90.00 90.00 90.00
Space group I-42d (No. 122)
One atom of each set of equivalent atoms:
Na (0.236, 0.250, 0.125) [8 per cell]
Zr (0.000, 0.000, 0.500) [4 per cell]
Tc (0.000, 0.000, 0.000) [4 per cell]

Calculated values
ΔE_f, eV per atom: 0.637
Energy above the most stable polymorph in this dataset, meV/atom: 0.0
Size of the total moment, μB per formula unit: 0.00
DOS(E_F), states/eV per cell: 15.75